P.
A relaxed structure of SbBr3O. Source: Alexandria via LeMat-Bulk, functional PBE.

Cell: 4.8193 4.8193 4.8193 Å, 90.00 90.00 90.00°
Last column: nearest neighbours and their distance in Å.
Fractional positions:
Sb1 0.0000 0.0000 0.0000  12 Br 3.41
Br1 0.0000 0.5000 0.5000  2 O 2.41
Br2 0.5000 0.0000 0.5000  2 O 2.41
Br3 0.5000 0.5000 0.0000  2 O 2.41
O1 0.5000 0.5000 0.5000  6 Br 2.41

* symmetry: Pm-3m (221)
* density: 5.60 g/cm3

Q.
A relaxed structure of SbBr3O. Source: Alexandria via LeMat-Bulk, functional PBE.

Cell: 5.5697 5.5697 5.5697 Å, 90.00 90.00 90.00°
Last column: nearest neighbours and their distance in Å.
Fractional positions:
Sb1 0.0000 0.0000 0.0000  6 Br 2.78
Br1 0.0000 0.0000 0.5000  2 Sb 2.78
Br2 0.0000 0.5000 0.0000  2 Sb 2.78
Br3 0.5000 0.0000 0.0000  2 Sb 2.78
O1 0.5000 0.5000 0.5000  12 Br 3.94

* symmetry: Pm-3m (221)
* density: 3.63 g/cm3

It turns out Q is the most stable, with the second structure 0.226 eV/atom higher.

P.
A relaxed structure of SbBr2O2. Source: Alexandria via LeMat-Bulk, functional PBE.

Cell: 7.5621 7.5621 3.4952 Å, 90.00 90.00 90.00°
Last column: nearest neighbours and their distance in Å.
Fractional positions:
Sb1 0.0000 0.0000 0.0000  4 Br 2.87
Sb2 0.5000 0.5000 0.0000  4 Br 2.87
Br1 0.1532 0.3468 0.0000  2 O 2.50
Br2 0.3468 0.8468 0.0000  2 O 2.50
Br3 0.6532 0.1532 0.0000  2 O 2.50
Br4 0.8468 0.6532 0.0000  2 O 2.50
O1 0.1796 0.6796 0.5000  2 Br 2.50
O2 0.3204 0.1796 0.5000  2 Br 2.50
O3 0.6796 0.8204 0.5000  2 Br 2.50
O4 0.8204 0.3204 0.5000  2 Br 2.50

* symmetry: P4/mbm (127)
* density: 5.21 g/cm3

Q.
A relaxed structure of SbBr2O2. Source: Alexandria via LeMat-Bulk, functional PBE.

Cell: 3.6017 3.6017 15.2956 Å, 90.00 90.00 90.00°
Last column: nearest neighbours and their distance in Å.
Fractional positions:
Sb1 0.0000 0.0000 0.0000  8 Br 3.10
Sb2 0.5000 0.5000 0.5000  8 Br 3.10
Br1 0.0000 0.0000 0.3847  4 O 2.74
Br2 0.0000 0.0000 0.6153  4 O 2.74
Br3 0.5000 0.5000 0.1153  4 O 2.74
Br4 0.5000 0.5000 0.8847  4 O 2.74
O1 0.0000 0.5000 0.2500  4 O 2.55, 4 Br 2.74
O2 0.0000 0.5000 0.7500  4 O 2.55, 4 Br 2.74
O3 0.5000 0.0000 0.2500  4 O 2.55, 4 Br 2.74
O4 0.5000 0.0000 0.7500  4 O 2.55, 4 Br 2.74

* symmetry: I4/mmm (139)
* density: 5.25 g/cm3

It turns out P is the most stable, with the second structure 0.128 eV/atom higher.

P.
A relaxed structure of Sb2BrO. Source: Alexandria via LeMat-Bulk, functional PBE.

Cell: 6.9421 6.9421 6.9421 Å, 90.00 90.00 90.00°
Last column: nearest neighbours and their distance in Å.
Fractional positions:
Sb1 0.2500 0.2500 0.2500  4 O 3.01, 4 Br 3.01
Sb2 0.2500 0.2500 0.7500  4 Br 3.01, 4 O 3.01
Sb3 0.2500 0.7500 0.2500  4 Br 3.01, 4 O 3.01
Sb4 0.2500 0.7500 0.7500  4 O 3.01, 4 Br 3.01
Sb5 0.7500 0.2500 0.2500  4 Br 3.01, 4 O 3.01
Sb6 0.7500 0.2500 0.7500  4 O 3.01, 4 Br 3.01
Sb7 0.7500 0.7500 0.2500  4 O 3.01, 4 Br 3.01
Sb8 0.7500 0.7500 0.7500  4 Br 3.01, 4 O 3.01
Br1 0.0000 0.0000 0.0000  8 Sb 3.01
Br2 0.0000 0.5000 0.5000  8 Sb 3.01
Br3 0.5000 0.0000 0.5000  8 Sb 3.01
Br4 0.5000 0.5000 0.0000  8 Sb 3.01
O1 0.0000 0.0000 0.5000  8 Sb 3.01
O2 0.0000 0.5000 0.0000  8 Sb 3.01
O3 0.5000 0.0000 0.0000  8 Sb 3.01
O4 0.5000 0.5000 0.5000  8 Sb 3.01

* symmetry: Fm-3m (225)
* density: 6.74 g/cm3

Q.
A relaxed structure of Sb2BrO. Source: Alexandria via LeMat-Bulk, functional PBE.

Cell: 5.4669 5.4669 14.6992 Å, 90.00 90.00 90.00°
Last column: nearest neighbours and their distance in Å.
Fractional positions:
Sb1 0.1076 0.2500 0.1250  2 O 2.36
Sb2 0.2500 0.6076 0.3750  2 O 2.36
Sb3 0.2500 0.8924 0.8750  2 O 2.36
Sb4 0.3924 0.2500 0.6250  2 O 2.36
Sb5 0.6076 0.7500 0.6250  2 O 2.36
Sb6 0.7500 0.1076 0.8750  2 O 2.36
Sb7 0.7500 0.3924 0.3750  2 O 2.36
Sb8 0.8924 0.7500 0.1250  2 O 2.36
Br1 0.0000 0.0000 0.5000  4 Sb 3.14
Br2 0.0000 0.5000 0.7500  4 Sb 3.14
Br3 0.5000 0.0000 0.2500  4 Sb 3.14
Br4 0.5000 0.5000 0.0000  4 Sb 3.14
O1 0.0000 0.0000 0.0000  4 Sb 2.36
O2 0.0000 0.5000 0.2500  4 Sb 2.36
O3 0.5000 0.0000 0.7500  4 Sb 2.36
O4 0.5000 0.5000 0.5000  4 Sb 2.36

* symmetry: I-42d (122)
* density: 5.13 g/cm3

It turns out Q is the most stable, with the second structure 0.651 eV/atom higher.